Compound: La4Er2N
Source: Alexandria via LeMat-Bulk
Functional: PBE-GGA
Structure: relaxed

Unit cell a=5.1334 b=5.1334 c=9.4644 alpha=74.26 beta=74.26 gamma=90.00
Fractional coordinates of all 7 atoms:
N (0.0000, 0.0000, 0.0000)
La (0.8623, 0.8623, 0.2754)
La (0.1377, 0.1377, 0.7246)
La (0.0000, 0.5000, 0.0000)
La (0.5000, 0.0000, 0.0000)
Er (0.6577, 0.6577, 0.6846)
Er (0.3423, 0.3423, 0.3154)

Values from the calculation:
Total moment ... 0.0 μB/f.u.
Total energy ... -38.4 eV per cell